# 1
InSb2Au8 | PBE-GGA | relaxed

abc: 5.752 5.961 8.297
angles: 92.36 95.03 56.24
Atoms (fractional coordinates):
Au (0.730, 0.081, 0.665)
Au (0.645, 0.613, 0.082)
Au (0.169, 0.183, 0.658)
Au (0.731, 0.366, 0.392)
Au (0.355, 0.387, 0.918)
Au (0.269, 0.634, 0.608)
Au (0.831, 0.817, 0.342)
Au (0.270, 0.919, 0.335)
In (0.000, 0.000, 0.000)
Sb (0.707, 0.660, 0.767)
Sb (0.293, 0.340, 0.233)

ΔE_f (raw) = -0.0224 eV/atom
space group = P-1 (2)

# 2
CaNd2Zn2In2 | PBE-GGA | relaxed

abc: 4.769 4.769 10.008
angles: 76.21 76.21 60.00
Atoms (fractional coordinates):
Nd (0.872, 0.872, 0.383)
Nd (0.128, 0.128, 0.617)
Zn (0.406, 0.406, 0.783)
Zn (0.594, 0.594, 0.217)
In (0.738, 0.738, 0.785)
In (0.262, 0.262, 0.215)
Ca (0.000, 0.000, 0.000)

space group = R-3m (166)
ΔH_f (0 K) = -297 meV per atom

# 3
LaGa2Rh | PBE-GGA | relaxed

abc: 4.792 4.792 4.792
angles: 60.00 60.00 60.00
Atoms (fractional coordinates):
Rh (0.000, 0.000, 0.000)
Ga (0.250, 0.250, 0.250)
Ga (0.750, 0.750, 0.750)
La (0.500, 0.500, 0.500)

space group = Fm-3m (225)
ΔH_f (0 K) = -541 meV per atom

# 4
NpMnSiIr | PBE-GGA | relaxed

abc: 4.538 4.538 4.538
angles: 60.00 60.00 60.00
Atoms (fractional coordinates):
Mn (0.250, 0.250, 0.250)
Si (0.750, 0.750, 0.750)
Ir (0.000, 0.000, 0.000)
Np (0.500, 0.500, 0.500)

ΔE_f (raw) = 0.1522 eV/atom
space group = F-43m (216)

# 5
MnCo2Re | PBE-GGA | relaxed

abc: 4.423 4.423 4.423
angles: 131.79 131.79 70.55
Atoms (fractional coordinates):
Mn (0.500, 0.500, 0.000)
Re (0.750, 0.250, 0.500)
Co (0.000, 0.000, 0.000)
Co (0.250, 0.750, 0.500)

space group = I-4m2 (119)
ΔH_f (0 K) = 36 meV per atom
offset from the most stable computed form = 0.09 eV/f.u.

# 6
NbVFePt | PBE-GGA | relaxed

abc: 4.356 4.356 4.356
angles: 60.00 60.00 60.00
Atoms (fractional coordinates):
Pt (0.750, 0.750, 0.750)
Fe (0.500, 0.500, 0.500)
Nb (0.250, 0.250, 0.250)
V (0.000, 0.000, 0.000)

space group = F-43m (216)
ΔH_f (0 K) = -185 meV per atom

# 7
KNbCd | PBE-GGA | relaxed

abc: 9.740 3.241 11.244
angles: 90.00 90.00 90.00
Atoms (fractional coordinates):
Cd (0.752, 0.750, 0.885)
Cd (0.248, 0.250, 0.115)
Cd (0.748, 0.250, 0.385)
Cd (0.252, 0.750, 0.615)
K (0.077, 0.250, 0.839)
K (0.423, 0.750, 0.339)
K (0.577, 0.250, 0.661)
K (0.923, 0.750, 0.161)
Nb (0.079, 0.250, 0.448)
Nb (0.579, 0.250, 0.052)
Nb (0.921, 0.750, 0.552)
Nb (0.421, 0.750, 0.948)

space group = Pnma (62)
ΔH_f (0 K) = 526 meV per atom
offset from the most stable computed form = 0.86 eV/f.u.

# 8
Tm6MgAl2 | PBE-GGA | relaxed

abc: 4.948 7.267 8.738
angles: 114.57 106.45 90.00
Atoms (fractional coordinates):
Tm (0.830, 0.085, 0.661)
Tm (0.500, 0.736, 0.000)
Tm (0.170, 0.424, 0.339)
Tm (0.170, 0.915, 0.339)
Tm (0.500, 0.264, 0.000)
Tm (0.830, 0.576, 0.661)
Al (0.668, 0.668, 0.336)
Al (0.332, 0.332, 0.664)
Mg (0.000, 0.000, 0.000)

space group = Immm (71)
ΔH_f (0 K) = 149 meV per atom

# 9
AlCu2Ni4 | PBE-GGA | relaxed

abc: 2.545 2.545 14.823
angles: 90.00 90.00 120.00
Atoms (fractional coordinates):
Cu (0.333, 0.667, 0.382)
Cu (0.667, 0.333, 0.085)
Ni (0.667, 0.333, 0.810)
Ni (0.667, 0.333, 0.245)
Ni (0.000, 0.000, 0.521)
Ni (0.000, 0.000, 0.947)
Al (0.000, 0.000, 0.679)

space group = P3m1 (156)
ΔH_f (0 K) = 69 meV per atom
offset from the most stable computed form = 1.85 eV/f.u.

# 10
CsAl2Ge2 | PBE-GGA | relaxed

abc: 8.746 8.746 3.182
angles: 90.00 90.00 90.00
Atoms (fractional coordinates):
Ge (0.144, 0.644, 0.500)
Ge (0.856, 0.356, 0.500)
Ge (0.356, 0.144, 0.500)
Ge (0.644, 0.856, 0.500)
Al (0.121, 0.379, 0.000)
Al (0.621, 0.121, 0.000)
Al (0.879, 0.621, 0.000)
Al (0.379, 0.879, 0.000)
Cs (0.000, 0.000, 0.000)
Cs (0.500, 0.500, 0.000)

space group = P4/mbm (127)
ΔH_f (0 K) = 219 meV per atom
offset from the most stable computed form = 1.80 eV/f.u.

# 11
SrGe2Pt | PBE-GGA | relaxed

abc: 4.560 4.364 9.313
angles: 103.55 90.00 90.00
Atoms (fractional coordinates):
Ge (0.500, 0.286, 0.572)
Ge (0.500, 0.000, 0.000)
Ge (0.000, 0.500, 0.000)
Ge (0.500, 0.714, 0.428)
Pt (0.500, 0.421, 0.842)
Pt (0.500, 0.579, 0.158)
Sr (0.000, 0.143, 0.286)
Sr (0.000, 0.857, 0.714)

space group = Cmmm (65)
ΔH_f (0 K) = -643 meV per atom

# 12
CrB2W | PBE-GGA | relaxed

abc: 3.815 3.815 3.815
angles: 60.00 60.00 60.00
Atoms (fractional coordinates):
B (0.250, 0.250, 0.250)
B (0.750, 0.750, 0.750)
Cr (0.000, 0.000, 0.000)
W (0.500, 0.500, 0.500)

space group = Fm-3m (225)
ΔH_f (0 K) = 289 meV per atom
offset from the most stable computed form = 2.93 eV/f.u.